No. 1
Dy3Al2Au4 | PBE-GGA | optimized geometry

As for the total moment: 0.00 Bohr magnetons per cell. The calculated volume comes out at 193 Å³/f.u. For the electronic total energy, the calculation gives -4.63 eV/atom. As for the energy of formation from the pure elements: -809 meV per atom.

It has space group C2/m (No. 12), with a = 10.8092 Å, b = 4.5551 Å, c = 8.6802 Å, α = 90.00°, β = 115.70° and γ = 90.00°. Symmetry generates all atoms from Dy at (0.0000, 0.0000, 0.0000), Dy at (0.1441, 0.5000, 0.6891), Al at (0.1537, 0.5000, 0.3268), Au at (0.0827, 0.0000, 0.4031) and Au at (0.2156, 0.5000, 0.0720).



No. 2
Dy2AlAu8 | PBE-GGA | optimized geometry

As for the total moment: 0.00 Bohr magnetons per cell. The calculated volume comes out at 219 Å³/f.u. For the electronic total energy, the calculation gives -4.13 eV/atom. As for the energy of formation from the pure elements: -566 meV per atom.

It has space group Immm (No. 71), with a = 5.0030 Å, b = 6.6754 Å, c = 13.1176 Å, α = 90.00°, β = 90.00° and γ = 90.00°. Symmetry generates all atoms from Dy at (0.0000, 0.0000, 0.2000), Al at (0.0000, 0.0000, 0.5000), Au at (0.0000, 0.2442, 0.0000), Au at (0.0000, 0.2881, 0.3769) and Au at (0.0000, 0.5000, 0.1782).



No. 3
DyAl2Au5 | PBE-GGA | optimized geometry

As for the total moment: 0.00 Bohr magnetons per cell. The calculated volume comes out at 156 Å³/f.u. For the electronic total energy, the calculation gives -4.05 eV/atom. As for the energy of formation from the pure elements: -489 meV per atom.

It has space group Immm (No. 71), with a = 3.7606 Å, b = 7.4767 Å, c = 11.0888 Å, α = 90.00°, β = 90.00° and γ = 90.00°. Symmetry generates all atoms from Dy at (0.0000, 0.0000, 0.0000), Al at (0.0000, 0.5000, 0.2374), Au at (0.0000, 0.2258, 0.3665) and Au at (0.0000, 0.5000, 0.0000).



No. 4
Dy4Al12Au | PBE-GGA | optimized geometry

As for the total moment: 0.00 Bohr magnetons per cell. The calculated volume comes out at 328 Å³/f.u. For the electronic total energy, the calculation gives -4.40 eV/atom. As for the energy of formation from the pure elements: -480 meV per atom.

It has space group Im-3m (No. 229), with a = 8.6869 Å, b = 8.6869 Å, c = 8.6869 Å, α = 90.00°, β = 90.00° and γ = 90.00°. Symmetry generates all atoms from Dy at (0.2500, 0.2500, 0.2500), Al at (0.0000, 0.0000, 0.3006), Al at (0.0000, 0.2500, 0.5000) and Au at (0.0000, 0.0000, 0.0000).



No. 5
DyAl3Au4 | PBE-GGA | optimized geometry

As for the total moment: 0.00 Bohr magnetons per cell. The calculated volume comes out at 157 Å³/f.u. For the electronic total energy, the calculation gives -4.12 eV/atom. As for the energy of formation from the pure elements: -506 meV per atom.

It has space group P4/mmm (No. 123), with a = 4.3668 Å, b = 4.3668 Å, c = 8.2102 Å, α = 90.00°, β = 90.00° and γ = 90.00°. Symmetry generates all atoms from Dy at (0.0000, 0.0000, 0.0000), Al at (0.0000, 0.0000, 0.5000), Al at (0.5000, 0.5000, 0.1534) and Au at (0.0000, 0.5000, 0.3159).



No. 6
EuDyAlAu | PBE-GGA | optimized geometry

As for the total moment: 27.24 Bohr magnetons per cell. The calculated volume comes out at 100 Å³/f.u. For the electronic total energy, the calculation gives -5.96 eV/atom. As for the energy of formation from the pure elements: -489 meV per atom.

It has space group F-43m (No. 216), with a = 7.3755 Å, b = 7.3755 Å, c = 7.3755 Å, α = 90.00°, β = 90.00° and γ = 90.00°. Symmetry generates all atoms from Eu at (0.0000, 0.0000, 0.0000), Dy at (0.0000, 0.0000, 0.5000), Al at (0.2500, 0.2500, 0.7500) and Au at (0.2500, 0.2500, 0.2500).



No. 7
DyAlGaAu3 | PBE-GGA | optimized geometry

As for the total moment: 0.00 Bohr magnetons per cell. The calculated volume comes out at 139 Å³/f.u. For the electronic total energy, the calculation gives -3.89 eV/atom. As for the energy of formation from the pure elements: -355 meV per atom.

It has space group Cmcm (No. 63), with a = 5.8070 Å, b = 16.5540 Å, c = 5.7774 Å, α = 90.00°, β = 90.00° and γ = 90.00°. Symmetry generates all atoms from Dy at (0.0000, 0.1747, 0.2500), Al at (0.0000, 0.4056, 0.7500), Ga at (0.0000, 0.1037, 0.7500), Au at (0.0000, 0.2557, 0.7500) and Au at (0.2477, 0.0000, 0.0000).



No. 8
Dy2Al3GaAu4 | PBE-GGA | optimized geometry

As for the total moment: 0.00 Bohr magnetons per cell. The calculated volume comes out at 199 Å³/f.u. For the electronic total energy, the calculation gives -4.33 eV/atom. As for the energy of formation from the pure elements: -676 meV per atom.

It has space group P-4m2 (No. 115), with a = 4.3327 Å, b = 4.3327 Å, c = 10.5771 Å, α = 90.00°, β = 90.00° and γ = 90.00°. Symmetry generates all atoms from Dy at (0.0000, 0.5000, 0.2487), Al at (0.0000, 0.5000, 0.8682), Al at (0.5000, 0.5000, 0.5000), Ga at (0.0000, 0.0000, 0.5000), Au at (0.0000, 0.0000, 0.0000), Au at (0.0000, 0.5000, 0.6362) and Au at (0.5000, 0.5000, 0.0000).



No. 9
DyAlGa2Au4 | PBE-GGA | optimized geometry

As for the total moment: 0.00 Bohr magnetons per cell. The calculated volume comes out at 152 Å³/f.u. For the electronic total energy, the calculation gives -3.91 eV/atom. As for the energy of formation from the pure elements: -473 meV per atom.

It has space group R-3m (No. 166, hexagonal axes), with a = 4.4735 Å, b = 4.4735 Å, c = 26.2893 Å, α = 90.00°, β = 90.00° and γ = 120.00°. Symmetry generates all atoms from Dy at (0.0000, 0.0000, 0.0000), Al at (0.0000, 0.0000, 0.5000), Ga at (0.0000, 0.0000, 0.2573), Au at (0.0000, 0.0000, 0.1357) and Au at (0.0000, 0.0000, 0.3965).



No. 10
DyAlGaAu | PBE-GGA | optimized geometry

As for the total moment: 0.00 Bohr magnetons per cell. The calculated volume comes out at 79 Å³/f.u. For the electronic total energy, the calculation gives -4.21 eV/atom. As for the energy of formation from the pure elements: -543 meV per atom.

It has space group F-43m (No. 216), with a = 6.8251 Å, b = 6.8251 Å, c = 6.8251 Å, α = 90.00°, β = 90.00° and γ = 90.00°. Symmetry generates all atoms from Dy at (0.0000, 0.0000, 0.0000), Al at (0.0000, 0.0000, 0.5000), Ga at (0.2500, 0.2500, 0.2500) and Au at (0.2500, 0.2500, 0.7500).



No. 11
Dy2AlGaAu6 | PBE-GGA | optimized geometry

As for the total moment: 0.00 Bohr magnetons per cell. The calculated volume comes out at 206 Å³/f.u. For the electronic total energy, the calculation gives -4.07 eV/atom. As for the energy of formation from the pure elements: -507 meV per atom.

It has space group P-1 (No. 2), with a = 5.5166 Å, b = 6.6729 Å, c = 6.7071 Å, α = 87.05°, β = 66.52° and γ = 66.57°. Symmetry generates all atoms from Dy at (0.2427, 0.2619, 0.2500), Al at (0.0000, 0.0000, 0.0000), Ga at (0.5000, 0.5000, 0.5000), Au at (0.1774, 0.8173, 0.3162), Au at (0.2507, 0.5882, 0.9140) and Au at (0.3223, 0.1715, 0.6969).



No. 12
Dy2Al4GeAu3 | PBE-GGA | optimized geometry

As for the total moment: 0.00 Bohr magnetons per cell. The calculated volume comes out at 197 Å³/f.u. For the electronic total energy, the calculation gives -4.50 eV/atom. As for the energy of formation from the pure elements: -636 meV per atom.

It has space group P-4m2 (No. 115), with a = 4.2728 Å, b = 4.2728 Å, c = 10.8069 Å, α = 90.00°, β = 90.00° and γ = 90.00°. Symmetry generates all atoms from Dy at (0.0000, 0.5000, 0.2474), Al at (0.0000, 0.0000, 0.5000), Al at (0.0000, 0.5000, 0.8622), Al at (0.5000, 0.5000, 0.5000), Ge at (0.5000, 0.5000, 0.0000), Au at (0.0000, 0.0000, 0.0000) and Au at (0.0000, 0.5000, 0.6361).



Copy entry 6 word for word.
EuDyAlAu | PBE-GGA | optimized geometry

As for the total moment: 27.24 Bohr magnetons per cell. The calculated volume comes out at 100 Å³/f.u. For the electronic total energy, the calculation gives -5.96 eV/atom. As for the energy of formation from the pure elements: -489 meV per atom.

It has space group F-43m (No. 216), with a = 7.3755 Å, b = 7.3755 Å, c = 7.3755 Å, α = 90.00°, β = 90.00° and γ = 90.00°. Symmetry generates all atoms from Eu at (0.0000, 0.0000, 0.0000), Dy at (0.0000, 0.0000, 0.5000), Al at (0.2500, 0.2500, 0.7500) and Au at (0.2500, 0.2500, 0.2500).



Copy entry 7 word for word.
DyAlGaAu3 | PBE-GGA | optimized geometry

As for the total moment: 0.00 Bohr magnetons per cell. The calculated volume comes out at 139 Å³/f.u. For the electronic total energy, the calculation gives -3.89 eV/atom. As for the energy of formation from the pure elements: -355 meV per atom.

It has space group Cmcm (No. 63), with a = 5.8070 Å, b = 16.5540 Å, c = 5.7774 Å, α = 90.00°, β = 90.00° and γ = 90.00°. Symmetry generates all atoms from Dy at (0.0000, 0.1747, 0.2500), Al at (0.0000, 0.4056, 0.7500), Ga at (0.0000, 0.1037, 0.7500), Au at (0.0000, 0.2557, 0.7500) and Au at (0.2477, 0.0000, 0.0000).



The highest total moment belongs to which entry?
EuDyAlAu